Computed, not measured: PmY2Se3 after structural relaxation at the PBE level of DFT.

## Properties
Density = 6237 kg/m³
Density of states at the Fermi level = 5.53 states/eV/cell
Formation energy (no corrections) = -1035 kJ/mol of formula units
SG = P6_3/mmc, No. 194

Cell lengths 4.0757, 4.0757, 20.7171 Å; angles 90.00, 90.00, 120.00 degrees
Last column: nearest neighbours and their distance in Å.
Element x y z (fractional)
Pm 0.0000 0.0000 0.2500  6 Se 2.98
Pm 0.0000 0.0000 0.7500  6 Se 2.98
Y 0.3333 0.6667 0.9186  6 Se 2.88-2.89
Y 0.6667 0.3333 0.0814  6 Se 2.88-2.89
Y 0.6667 0.3333 0.4186  6 Se 2.88-2.89
Y 0.3333 0.6667 0.5814  6 Se 2.88-2.89
Se 0.0000 0.0000 0.0000  6 Y 2.89
Se 0.3333 0.6667 0.1614  3 Y 2.88, 3 Pm 2.98
Se 0.3333 0.6667 0.3386  3 Y 2.88, 3 Pm 2.98
Se 0.0000 0.0000 0.5000  6 Y 2.89
Se 0.6667 0.3333 0.6614  3 Y 2.88, 3 Pm 2.98
Se 0.6667 0.3333 0.8386  3 Y 2.88, 3 Pm 2.98